# Sr2SbClF (GGA-PBE, relaxed)
data_Sr2SbClF
_cell_length_a 5.817
_cell_length_b 5.817
_cell_length_c 5.211
_cell_angle_alpha 90.00
_cell_angle_beta 90.00
_cell_angle_gamma 90.00
_symmetry_space_group_name_H-M 'P 1'
_symmetry_Int_Tables_number 1
loop_
_symmetry_equiv_pos_as_xyz
'x,y,z'
loop_
_atom_site_label
_atom_site_type_symbol
_atom_site_fract_x
_atom_site_fract_y
_atom_site_fract_z
Sr1 Sr 0.000 0.500 0.000
Sr2 Sr 0.500 0.000 0.000
Sb1 Sb 0.000 0.000 0.500
Cl1 Cl 0.000 0.000 0.000
F1 F 0.500 0.500 0.500
# Total magnetization ... 0.00 μB per formula unit
# Excess energy over the best structure of this formula in the dataset ... 366.1 meV/atom
# Space-group type ... P4/mmm
# ΔE_f (raw) ... -0.9166 eV/atom
# Crystal system ... tetragonal